No. 1
DFT (PBE) results for crystalline SrAc2SmSe4 at its relaxed geometry.

Formation energy (no corrections) ... -1.87 eV per atom
Magnetic moment ... 0.000 μB/atom

Cell: 7.5894 4.3557 7.6093 Å, 90.00 109.11 90.00°
Last column: nearest neighbours and their distance in Å.
Space group P2/m (No. 10)
Asymmetric unit:
Sr: 0.0000 0.0000 0.0000 [1 per cell]  6 Se 3.06-3.07
Ac: 0.0000 0.5000 0.5000 [1 per cell]  6 Se 3.18
Ac: 0.5000 0.0000 0.5000 [1 per cell]  6 Se 3.13-3.14
Sm: 0.5000 0.5000 0.0000 [1 per cell]  6 Se 3.01-3.02
Se: 0.2518 0.5000 0.2383 [2 per cell]  1 Sm 3.01, 2 Sr 3.07, 3 Ac 3.13-3.18
Se: 0.2600 0.0000 0.7663 [2 per cell]  2 Sm 3.02, 1 Sr 3.06, 3 Ac 3.14-3.18

No. 2
DFT (PBE) results for crystalline TaRuF2 at its relaxed geometry.

Formation energy (no corrections) ... -0.87 eV per atom
Magnetic moment ... 0.490 μB/atom
Relative energy among the computed polymorphs ... 0 meV/atom

Cell: 2.7511 2.7511 30.3467 Å, 90.00 90.00 120.00°
Last column: nearest neighbours and their distance in Å.
Space group R-3m (No. 166, hexagonal axes)
Asymmetric unit:
Ta: 0.0000 0.0000 0.0000 [3 per cell]  6 F 2.22
Ru: 0.0000 0.0000 0.5000 [3 per cell]  6 Ru 2.75
F: 0.0000 0.0000 0.3843 [6 per cell]  3 Ta 2.22